(w)
Entry from the Alexandria database: crystalline Ga2BF2 at its relaxed geometry (PBE-GGA).

Properties
M_tot in μB per cell: 0.00
Symmetry: P4/mbm (127)

Cell and atoms, written as extended XYZ:
```
10
Lattice="5.838 0.000 0.000 0.000 5.838 0.000 0.000 0.000 4.078" Properties=species:S:1:pos:R:3 pbc="T T T"
Ga 1.112 1.807 0.000
Ga 1.807 4.726 0.000
Ga 4.031 1.112 0.000
Ga 4.726 4.031 0.000
B 0.000 0.000 0.000
B 2.919 2.919 0.000
F 1.046 1.873 2.039
F 1.873 4.792 2.039
F 3.965 1.046 2.039
F 4.792 3.965 2.039
```

---

(x)
Entry from the Alexandria database: crystalline Ga2BF2 at its relaxed geometry (PBE-GGA).

Properties
M_tot in μB per cell: 0.00
Symmetry: I4/mmm (139)

Cell and atoms, written as extended XYZ:
```
5
Lattice="-1.643 1.643 5.725 1.643 -1.643 5.725 1.643 1.643 -5.725" Properties=species:S:1:pos:R:3 pbc="T T T"
Ga 0.000 0.000 1.372
Ga 0.000 0.000 10.079
B 0.000 0.000 5.725
F 1.643 0.000 2.863
F 0.000 1.643 2.863
```

---

(w) takes first place; second place is 303 meV per atom up.

---

(w)
Entry from the Alexandria database: crystalline GaB2F at its relaxed geometry (PBE-GGA).

Properties
M_tot in μB per cell: 0.00
Symmetry: Fm-3m (225)

Cell and atoms, written as extended XYZ:
```
4
Lattice="0.000 2.772 2.772 2.772 0.000 2.772 2.772 2.772 0.000" Properties=species:S:1:pos:R:3 pbc="T T T"
Ga 0.000 0.000 0.000
B 1.386 1.386 1.386
B 4.158 4.158 4.158
F 2.772 2.772 2.772
```

---

(x)
Entry from the Alexandria database: crystalline GaB2F at its relaxed geometry (PBE-GGA).

Properties
M_tot in μB per cell: 0.00
Symmetry: I-42d (122)

Cell and atoms, written as extended XYZ:
```
8
Lattice="-2.300 2.300 5.048 2.300 -2.300 5.048 2.300 2.300 -5.048" Properties=species:S:1:pos:R:3 pbc="T T T"
Ga 0.000 0.000 0.000
Ga 0.000 2.300 2.524
B 1.150 -1.150 3.786
B 1.150 1.150 1.262
B 1.150 3.450 -1.262
B 1.150 1.150 6.310
F 2.300 0.000 2.524
F 0.000 0.000 5.048
```

---

(x) takes first place; second place is 351 meV per atom up.

---

(w)
Entry from the Alexandria database: crystalline GeB2F2 at its relaxed geometry (PBE-GGA).

Properties
M_tot in μB per cell: 0.00
Symmetry: I4/mmm (139)

Cell and atoms, written as extended XYZ:
```
5
Lattice="-1.354 1.354 9.618 1.354 -1.354 9.618 1.354 1.354 -9.618" Properties=species:S:1:pos:R:3 pbc="T T T"
Ge 0.000 0.000 0.000
B 1.354 0.000 4.809
B 0.000 1.354 4.809
F 0.000 0.000 8.282
F 0.000 0.000 10.954
```

---

(x)
Entry from the Alexandria database: crystalline GeB2F2 at its relaxed geometry (PBE-GGA).

Properties
M_tot in μB per cell: 0.00
Symmetry: P4/mbm (127)

Cell and atoms, written as extended XYZ:
```
10
Lattice="7.175 0.000 0.000 0.000 7.175 0.000 0.000 0.000 2.436" Properties=species:S:1:pos:R:3 pbc="T T T"
Ge 0.000 0.000 0.000
Ge 3.587 3.587 0.000
B 1.562 2.025 1.218
B 2.025 5.612 1.218
B 5.150 1.562 1.218
B 5.612 5.150 1.218
F 0.833 2.754 0.000
F 2.754 6.341 0.000
F 4.421 0.833 0.000
F 6.341 4.421 0.000
```

---

(w) takes first place; second place is 293 meV per atom up.

---

(w)
Entry from the Alexandria database: crystalline GeB2F at its relaxed geometry (PBE-GGA).

Properties
M_tot in μB per cell: 0.00
Symmetry: I-42d (122)

Cell and atoms, written as extended XYZ:
```
8
Lattice="-2.259 2.259 5.060 2.259 -2.259 5.060 2.259 2.259 -5.060" Properties=species:S:1:pos:R:3 pbc="T T T"
Ge 0.000 0.000 0.000
Ge 0.000 2.259 2.530
B 1.129 -1.111 3.795
B 1.147 1.129 1.265
B 1.129 3.370 -1.265
B 1.111 1.129 6.325
F 2.259 0.000 2.530
F 0.000 0.000 5.060
```

---

(x)
Entry from the Alexandria database: crystalline GeB2F at its relaxed geometry (PBE-GGA).

Properties
M_tot in μB per cell: 0.00
Symmetry: Fm-3m (225)

Cell and atoms, written as extended XYZ:
```
4
Lattice="0.000 2.751 2.751 2.751 0.000 2.751 2.751 2.751 0.000" Properties=species:S:1:pos:R:3 pbc="T T T"
Ge 0.000 0.000 0.000
B 1.375 1.375 1.375
B 4.126 4.126 4.126
F 2.751 2.751 2.751
```

---

(w) takes first place; second place is 371 meV per atom up.

---

(w)
Entry from the Alexandria database: crystalline GeB3F at its relaxed geometry (PBE-GGA).

Properties
M_tot in μB per cell: 0.00
Symmetry: Pm-3m (221)

Cell and atoms, written as extended XYZ:
```
5
Lattice="4.178 0.000 0.000 0.000 4.178 0.000 0.000 0.000 4.178" Properties=species:S:1:pos:R:3 pbc="T T T"
Ge 0.000 0.000 0.000
B 0.000 0.000 2.089
B 0.000 2.089 0.000
B 2.089 0.000 0.000
F 2.089 2.089 2.089
```

---

(x)
Entry from the Alexandria database: crystalline GeB3F at its relaxed geometry (PBE-GGA).

Properties
M_tot in μB per cell: 0.00
Symmetry: Pm-3m (221)

Cell and atoms, written as extended XYZ:
```
5
Lattice="3.877 0.000 0.000 0.000 3.877 0.000 0.000 0.000 3.877" Properties=species:S:1:pos:R:3 pbc="T T T"
Ge 0.000 0.000 0.000
B 0.000 1.939 1.939
B 1.939 0.000 1.939
B 1.939 1.939 0.000
F 1.939 1.939 1.939
```

---

(w) takes first place; second place is 174 meV per atom up.

---

(w)
Entry from the Alexandria database: crystalline GeBN2F at its relaxed geometry (PBE-GGA).

Properties
M_tot in μB per cell: 0.00
Symmetry: P4/mmm (123)

Cell and atoms, written as extended XYZ:
```
5
Lattice="3.213 0.000 0.000 0.000 3.213 0.000 0.000 0.000 4.681" Properties=species:S:1:pos:R:3 pbc="T T T"
Ge 0.000 0.000 0.000
B 1.606 1.606 2.340
N 0.000 1.606 2.340
N 1.606 0.000 2.340
F 1.606 1.606 0.000
```

---

(x)
Entry from the Alexandria database: crystalline GeBN2F at its relaxed geometry (PBE-GGA).

Properties
M_tot in μB per cell: 1.36
Symmetry: P4/mmm (123)

Cell and atoms, written as extended XYZ:
```
5
Lattice="3.795 0.000 0.000 0.000 3.795 0.000 0.000 0.000 3.850" Properties=species:S:1:pos:R:3 pbc="T T T"
Ge 0.000 0.000 0.000
B 1.897 1.897 1.925
N 0.000 1.897 0.000
N 1.897 0.000 0.000
F 0.000 0.000 1.925
```

---

(w) takes first place; second place is 923 meV per atom up.